Entry from Alexandria via LeMat-Bulk: an optimized crystal structure of ZrNbPt2O (GGA-PBE).

Properties
- E_form (uncorrected): 1.71 eV per atom
- E_tot: -5.426 eV per atom
- Space-group type: No. 123

Cell lengths 4.8589, 5.1757, 4.8589 Å; angles 90.00, 90.00, 90.00 degrees
Atoms (fractional coordinates):
Nb  0.0000  0.5000  0.0000
Zr  0.0000  0.0000  0.0000
O  0.5000  0.5000  0.5000
Pt  0.5000  0.0000  0.0000
Pt  0.0000  0.0000  0.5000

Entry from Alexandria via LeMat-Bulk: an optimized crystal structure of PuNbO4 (GGA-PBE).

Properties
- E_form (uncorrected): -2.80 eV per atom
- E_tot: -10.175 eV per atom
- Space-group type: No. 14

Cell lengths 5.3935, 7.6485, 7.7698 Å; angles 98.08, 90.00, 90.00 degrees
Site moments in Bohr magnetons follow the coordinates.
Atoms (fractional coordinates):
O  0.9862  0.6609  0.6251  -0.05
O  0.8667  0.8333  0.9350  -0.01
O  0.1333  0.1667  0.0650  -0.01
O  0.9960  0.3878  0.8397  -0.07
O  0.3667  0.1667  0.5650  -0.01
O  0.5040  0.3878  0.3397  -0.07
O  0.0138  0.3391  0.3749  -0.05
O  0.9049  0.0673  0.6911  -0.01
O  0.4862  0.3391  0.8749  -0.05
O  0.5138  0.6609  0.1251  -0.05
O  0.4960  0.6122  0.6603  -0.07
O  0.4049  0.9327  0.8089  -0.01
O  0.5951  0.0673  0.1911  -0.01
O  0.0040  0.6122  0.1603  -0.07
O  0.0951  0.9327  0.3089  -0.01
O  0.6333  0.8333  0.4350  -0.01
Pu  0.2748  0.6389  0.3909  4.82
Pu  0.2252  0.6389  0.8909  4.82
Pu  0.7252  0.3611  0.6091  4.82
Pu  0.7748  0.3611  0.1091  4.82
Nb  0.7264  0.8409  0.6779  0.23
Nb  0.2736  0.1591  0.3221  0.23
Nb  0.2264  0.1591  0.8221  0.23
Nb  0.7736  0.8409  0.1779  0.23

Entry from Alexandria via LeMat-Bulk: an optimized crystal structure of PuNbO5 (GGA-PBE).

Properties
- E_form (uncorrected): -2.59 eV per atom
- E_tot: -9.614 eV per atom
- Space-group type: No. 14

Cell lengths 9.9872, 5.4124, 8.1954 Å; angles 68.38, 90.00, 90.00 degrees
Site moments in Bohr magnetons follow the coordinates.
Atoms (fractional coordinates):
O  0.8892  0.1156  0.2453  -0.16
O  0.1073  0.3704  0.0017  -0.10
O  0.3896  0.4562  0.1261  -0.04
O  0.8795  0.2261  0.8337  -0.04
O  0.6073  0.6296  0.4983  -0.10
O  0.6104  0.5438  0.8739  -0.04
O  0.1108  0.8844  0.7547  -0.16
O  0.3927  0.3704  0.5017  -0.10
O  0.1485  0.2046  0.3520  -0.06
O  0.1205  0.7739  0.1663  -0.04
O  0.3515  0.2046  0.8520  -0.06
O  0.8896  0.5438  0.3739  -0.04
O  0.1104  0.4562  0.6261  -0.04
O  0.6108  0.1156  0.7453  -0.16
O  0.8515  0.7954  0.6480  -0.06
O  0.6485  0.7954  0.1480  -0.06
O  0.3795  0.7739  0.6663  -0.04
O  0.3892  0.8844  0.2547  -0.16
O  0.8927  0.6296  0.9983  -0.10
O  0.6205  0.2261  0.3337  -0.04
Pu  0.7447  0.8804  0.8759  3.32
Pu  0.2447  0.1196  0.6241  3.32
Pu  0.7553  0.8804  0.3759  3.32
Pu  0.2553  0.1196  0.1241  3.32
Nb  0.0127  0.4783  0.2266  0.05
Nb  0.4873  0.4783  0.7266  0.05
Nb  0.5127  0.5217  0.2734  0.05
Nb  0.9873  0.5217  0.7734  0.05

Entry from Alexandria via LeMat-Bulk: an optimized crystal structure of PuNbO3 (GGA-PBE).

Properties
- E_form (uncorrected): -2.47 eV per atom
- E_tot: -10.330 eV per atom
- Space-group type: No. 63

Cell lengths 5.6794, 5.6794, 8.1884 Å; angles 90.00, 90.00, 89.72 degrees
Site moments in Bohr magnetons follow the coordinates.
Atoms (fractional coordinates):
O  0.6849  0.3151  0.0000  -0.01
O  0.6849  0.3151  0.5000  -0.01
O  0.9604  0.5494  0.2500  -0.01
O  0.5494  0.9604  0.2500  -0.01
O  0.4506  0.0396  0.7500  -0.01
O  0.3151  0.6849  0.0000  -0.01
O  0.3151  0.6849  0.5000  -0.01
O  0.1882  0.1882  0.4592  -0.01
O  0.0396  0.4506  0.7500  -0.01
O  0.8118  0.8118  0.9592  -0.01
O  0.8118  0.8118  0.5408  -0.01
O  0.1882  0.1882  0.0408  -0.01
Nb  0.0000  0.5000  0.0000  0.14
Nb  0.5000  0.0000  0.5000  0.14
Nb  0.5000  0.0000  0.0000  0.14
Nb  0.0000  0.5000  0.5000  0.14
Pu  0.4986  0.4986  0.2500  5.42
Pu  0.0245  0.0245  0.7500  5.37
Pu  0.5014  0.5014  0.7500  5.42
Pu  0.9755  0.9755  0.2500  5.37

> The lowest E_form (uncorrected) belongs to which entry?

PuNbO4

> Which of these has the lowest E_tot?

PuNbO3

> Which formula does entry 1 have?

ZrNbPt2O